A plane-wave DFT calculation with GGA-PBE was carried out for a relaxed structure of ZrSc5As4.

Properties
The energy is -6.86 eV per atom. The calculation puts the calculated formation energy at -9.79 eV per formula unit. The space group is C2/m. The total magnetization comes out at 0.000 μB per atom.

Unit cell a=3.8335 b=7.4717 c=8.4953 alpha=105.73 beta=103.04 gamma=90.00
Atoms (fractional coordinates):
Sc1 0.5000 0.5000 0.0000
Sc2 0.8372 0.1590 0.6744
Sc3 0.1628 0.8410 0.3256
Sc4 0.1726 0.3512 0.3452
Sc5 0.8274 0.6488 0.6548
As1 0.3278 0.8992 0.6556
As2 0.6722 0.1008 0.3444
As3 0.9946 0.7398 0.9891
As4 0.0054 0.2602 0.0109
Zr1 0.5000 0.0000 0.0000